GaCuBr2 (GGA-PBE, optimized geometry); symmetry = I-42d; energy relative to the elements, uncorrected = -33.0 kJ per mole of atoms; energy above the most stable polymorph in this dataset = 0.00 eV per formula unit
1.0
-3.479 3.479 4.881
3.479 -3.479 4.881
3.479 3.479 -4.881
Ga Cu Br
2 2 4
direct
0.000 0.000 0.000
0.750 0.250 0.500
0.250 0.750 0.500
0.500 0.500 0.000
0.193 0.125 0.568
0.375 0.807 0.932
0.557 0.625 0.432
0.875 0.443 0.068

GaCu2Br6 (GGA-PBE, optimized geometry); symmetry = C2/c; energy relative to the elements, uncorrected = -50.3 kJ per mole of atoms
1.0
7.211 -6.951 0.000
7.211 6.951 0.000
-3.069 0.000 6.129
Ga Cu Br
2 4 12
direct
0.227 0.773 0.750
0.773 0.227 0.250
0.204 0.339 0.583
0.339 0.204 0.083
0.661 0.796 0.917
0.796 0.661 0.417
0.030 0.770 0.442
0.202 0.369 0.255
0.222 0.576 0.871
0.230 0.970 0.058
0.369 0.202 0.755
0.424 0.778 0.629
0.576 0.222 0.371
0.631 0.798 0.245
0.770 0.030 0.942
0.778 0.424 0.129
0.798 0.631 0.745
0.970 0.230 0.558

Ga2CuBr (GGA-PBE, optimized geometry); symmetry = I-42d; energy relative to the elements, uncorrected = 3.1 kJ per mole of atoms; energy above the most stable polymorph in this dataset = 0.00 eV per formula unit
1.0
-2.841 2.841 6.867
2.841 -2.841 6.867
2.841 2.841 -6.867
Ga Cu Br
4 2 2
direct
0.027 0.625 0.902
0.375 0.277 0.402
0.723 0.125 0.098
0.875 0.973 0.598
0.000 0.000 0.000
0.750 0.250 0.500
0.250 0.750 0.500
0.500 0.500 0.000

GaCu2Br8 (GGA-PBE, optimized geometry); symmetry = C2/m; energy relative to the elements, uncorrected = -35.2 kJ per mole of atoms
1.0
5.633 -5.681 0.000
5.633 5.681 0.000
-2.128 0.000 6.186
Ga Cu Br
1 2 8
direct
0.000 0.000 0.000
0.189 0.189 0.668
0.811 0.811 0.332
0.059 0.752 0.179
0.222 0.222 0.334
0.248 0.941 0.821
0.422 0.422 0.815
0.578 0.578 0.185
0.752 0.059 0.179
0.778 0.778 0.666
0.941 0.248 0.821